Entry 1:
The following is a PBE calculation of an optimized crystal structure of ScZnInGa, from Alexandria via LeMat-Bulk.

Properties
Formation energy (eV per atom): -0.372
DOS(E_F) (states/eV/cell): 1.29

Cell lengths 4.1531, 4.3317, 4.2001 Å; angles 90.00, 90.00, 90.00 degrees
With the nearest neighbours (Å) after each atom.
Sites, in units of the cell vectors:
Sc 0.5000 0.0000 0.5000  4 Ga 2.95, 4 Zn 3.00, 4 In 3.02
Zn 0.0000 0.5000 0.5000  4 In 2.95, 4 Sc 3.00, 4 Ga 3.02
In 0.5000 0.5000 0.0000  4 Zn 2.95, 4 Ga 3.00, 4 Sc 3.02
Ga 0.0000 0.0000 0.0000  4 Sc 2.95, 4 In 3.00, 4 Zn 3.02

***

Entry 2:
The following is a PBE calculation of an optimized crystal structure of In2GaSe2, from Alexandria via LeMat-Bulk.

Properties
ΔE to the lowest computed polymorph (eV/f.u.): 0.00
Energy relative to the elements, uncorrected (meV/atom): -172
DOS(E_F) (states/eV/cell): 3.17

Cell lengths 8.0806, 8.0806, 3.8786 Å; angles 90.00, 90.00, 90.00 degrees
With the nearest neighbours (Å) after each atom.
Sites, in units of the cell vectors:
Ga 0.0000 0.0000 0.0000  4 Se 3.04
Ga 0.5000 0.5000 0.0000  4 Se 3.04
Se 0.3413 0.8413 0.0000  6 In 2.93-3.15, 2 Ga 3.04
Se 0.8413 0.6587 0.0000  6 In 2.93-3.15, 2 Ga 3.04
Se 0.6587 0.1587 0.0000  6 In 2.93-3.15, 2 Ga 3.04
Se 0.1587 0.3413 0.0000  6 In 2.93-3.15, 2 Ga 3.04
In 0.1486 0.6486 0.5000  6 Se 2.93-3.15
In 0.6486 0.8514 0.5000  6 Se 2.93-3.15
In 0.8514 0.3514 0.5000  6 Se 2.93-3.15
In 0.3514 0.1486 0.5000  6 Se 2.93-3.15

***

Entry 3:
The following is a PBE calculation of an optimized crystal structure of InGa2Se2, from Alexandria via LeMat-Bulk.

Properties
ΔE to the lowest computed polymorph (eV/f.u.): 0.00
Energy relative to the elements, uncorrected (meV/atom): -270
DOS(E_F) (states/eV/cell): 0.95

Cell lengths 5.1498, 5.1498, 5.7568 Å; angles 63.43, 63.43, 90.00 degrees
With the nearest neighbours (Å) after each atom.
Sites, in units of the cell vectors:
Ga 0.3537 0.3537 0.2926  1 Ga 2.61, 4 Se 2.74
Ga 0.6463 0.6463 0.7074  1 Ga 2.61, 4 Se 2.74
Se 0.7500 0.2500 0.5000  4 Ga 2.74
Se 0.2500 0.7500 0.5000  4 Ga 2.74
In 0.0000 0.0000 0.0000  2 Ga 3.15, 8 Se 3.41

***

Entry 4:
The following is a PBE calculation of an optimized crystal structure of InGaSe2, from Alexandria via LeMat-Bulk.

Properties
Energy relative to the elements, uncorrected (meV/atom): -120
DOS(E_F) (states/eV/cell): 1.13

Cell lengths 5.0183, 5.0183, 5.0183 Å; angles 60.00, 60.00, 60.00 degrees
With the nearest neighbours (Å) after each atom.
Sites, in units of the cell vectors:
Ga 0.0000 0.0000 0.0000  8 Se 3.07
Se 0.2500 0.2500 0.2500  4 In 3.07, 4 Ga 3.07
Se 0.7500 0.7500 0.7500  4 In 3.07, 4 Ga 3.07
In 0.5000 0.5000 0.5000  8 Se 3.07

***

Entry 5:
The following is a PBE calculation of an optimized crystal structure of In2GaSe3, from Alexandria via LeMat-Bulk.

Properties
Energy relative to the elements, uncorrected (meV/atom): -309
DOS(E_F) (states/eV/cell): 1.82

Cell lengths 4.7601, 6.5094, 7.7333 Å; angles 114.89, 107.92, 90.00 degrees
With the nearest neighbours (Å) after each atom.
Sites, in units of the cell vectors:
In 0.8306 0.5713 0.6612  4 Se 2.68-2.75
In 0.1694 0.9101 0.3388  4 Se 2.68-2.75
Ga 0.5000 0.2311 0.0000  4 Se 2.93-3.08
Se 0.0000 0.9689 0.0000  2 In 2.68, 2 Ga 2.93
Se 0.3196 0.3504 0.6391  3 In 2.74-2.75
Se 0.6804 0.7113 0.3609  3 In 2.74-2.75

***

Entry 6:
The following is a PBE calculation of an optimized crystal structure of In2GaSe4, from Alexandria via LeMat-Bulk.

Properties
Energy relative to the elements, uncorrected (meV/atom): -490
DOS(E_F) (states/eV/cell): 2.78

Cell lengths 6.4178, 6.4178, 6.9647 Å; angles 117.43, 117.43, 90.00 degrees
With the nearest neighbours (Å) after each atom.
Sites, in units of the cell vectors:
In 0.7500 0.2500 0.5000  4 Se 2.73
In 0.2500 0.7500 0.5000  4 Se 2.73
Ga 0.5000 0.5000 0.0000  4 Se 2.45
Se 0.8467 0.3681 0.2147  1 Ga 2.45, 2 In 2.73
Se 0.3681 0.8467 0.2147  1 Ga 2.45, 2 In 2.73
Se 0.6319 0.6319 0.7853  1 Ga 2.45, 2 In 2.73
Se 0.1533 0.1533 0.7853  1 Ga 2.45, 2 In 2.73

***

Entry 7:
The following is a PBE calculation of an optimized crystal structure of In3GaSe, from Alexandria via LeMat-Bulk.

Properties
ΔE to the lowest computed polymorph (eV/f.u.): 0.00
Energy relative to the elements, uncorrected (meV/atom): 127
DOS(E_F) (states/eV/cell): 1.46

Cell lengths 5.2939, 5.2939, 5.2939 Å; angles 90.00, 90.00, 90.00 degrees
With the nearest neighbours (Å) after each atom.
Sites, in units of the cell vectors:
Ga 0.0000 0.0000 0.0000  6 In 2.65
Se 0.5000 0.5000 0.5000  12 In 3.74
In 0.0000 0.5000 0.0000  2 Ga 2.65
In 0.0000 0.0000 0.5000  2 Ga 2.65
In 0.5000 0.0000 0.0000  2 Ga 2.65

***

Entry 8:
The following is a PBE calculation of an optimized crystal structure of InGaSe2, from Alexandria via LeMat-Bulk.

Properties
Energy relative to the elements, uncorrected (meV/atom): -377
DOS(E_F) (states/eV/cell): 0.98

Cell lengths 3.8840, 3.8840, 7.6705 Å; angles 75.33, 75.33, 60.00 degrees
With the nearest neighbours (Å) after each atom.
Sites, in units of the cell vectors:
In 0.5014 0.5014 0.4957  6 Se 3.10-3.19
Ga 0.6682 0.6682 0.9954  6 Se 2.65-2.72
Se 0.0653 0.0653 0.8041  3 Ga 2.65
Se 0.2651 0.2651 0.2048  3 Ga 2.72

***

Entry 9:
The following is a PBE calculation of an optimized crystal structure of InGaSe2, from Alexandria via LeMat-Bulk.

Properties
Energy relative to the elements, uncorrected (meV/atom): -495
DOS(E_F) (states/eV/cell): 0.02

Cell lengths 6.4115, 6.5967, 6.5967 Å; angles 76.32, 60.90, 60.90 degrees
With the nearest neighbours (Å) after each atom.
Sites, in units of the cell vectors:
Ga 0.7500 0.5000 0.5000  4 Se 2.46
Ga 0.2500 0.5000 0.5000  4 Se 2.46
Se 0.8376 0.8245 0.5000  2 Ga 2.46
Se 0.6624 0.5000 0.1755  2 Ga 2.46
Se 0.1624 0.1755 0.5000  2 Ga 2.46
Se 0.3376 0.5000 0.8245  2 Ga 2.46
In 0.2500 0.0000 0.0000  2 In 3.21, 8 Se 3.45
In 0.7500 0.0000 0.0000  2 In 3.21, 8 Se 3.45

***

Entry 10:
The following is a PBE calculation of an optimized crystal structure of In12Ga3Se5, from Alexandria via LeMat-Bulk.

Properties
Energy relative to the elements, uncorrected (meV/atom): -71
DOS(E_F) (states/eV/cell): 39.08

Cell lengths 14.8384, 14.8384, 14.8384 Å; angles 109.47, 109.47, 109.47 degrees
With the nearest neighbours (Å) after each atom.
Sites, in units of the cell vectors:
Ga 0.7500 0.3750 0.1250  8 In 3.04-3.14
Ga 0.8750 0.7500 0.1250  8 In 3.04-3.14
Ga 0.3750 0.7500 0.6250  8 In 3.04-3.14
Ga 0.2500 0.1250 0.3750  8 In 3.04-3.14
Ga 0.8750 0.1250 0.2500  8 In 3.04-3.14
Ga 0.3750 0.6250 0.2500  8 In 3.04-3.14
Ga 0.6250 0.3750 0.7500  8 In 3.04-3.14
Ga 0.1250 0.8750 0.7500  8 In 3.04-3.14
Ga 0.7500 0.8750 0.6250  8 In 3.04-3.14
Ga 0.6250 0.2500 0.3750  8 In 3.04-3.14
Ga 0.1250 0.2500 0.8750  8 In 3.04-3.14
Ga 0.2500 0.6250 0.8750  8 In 3.04-3.14
Se 0.1250 0.3750 0.2500  4 In 2.80
Se 0.0000 0.5000 0.0000  6 In 2.96
Se 0.0000 0.0000 0.0000  6 In 2.96
Se 0.3750 0.2500 0.1250  4 In 2.80
Se 0.5000 0.0000 0.5000  6 In 2.96
Se 0.5000 0.5000 0.0000  6 In 2.96
Se 0.1250 0.7500 0.3750  4 In 2.80
Se 0.7500 0.1250 0.8750  4 In 2.80
Se 0.7500 0.6250 0.3750  4 In 2.80
Se 0.3750 0.1250 0.7500  4 In 2.80
Se 0.6250 0.8750 0.2500  4 In 2.80
Se 0.5000 0.5000 0.5000  6 In 2.96
Se 0.5000 0.0000 0.0000  6 In 2.96
Se 0.0000 0.0000 0.5000  6 In 2.96
Se 0.2500 0.3750 0.6250  4 In 2.80
Se 0.2500 0.8750 0.1250  4 In 2.80
Se 0.0000 0.5000 0.5000  6 In 2.96
Se 0.8750 0.2500 0.6250  4 In 2.80
Se 0.6250 0.7500 0.8750  4 In 2.80
Se 0.8750 0.6250 0.7500  4 In 2.80
In 0.7276 0.1483 0.0605  2 Se 2.80-2.96, 1 Ga 3.04, 1 In 3.10
In 0.3329 0.5605 0.4122  2 Se 2.80-2.96, 1 Ga 3.04, 1 In 3.10
In 0.9395 0.3517 0.2724  2 Se 2.80-2.96, 1 Ga 3.04, 1 In 3.10
In 0.5605 0.2276 0.1483  2 Se 2.80-2.96, 1 Ga 3.04, 1 In 3.10
In 0.5792 0.7276 0.6671  2 Se 2.80-2.96, 1 Ga 3.04, 1 In 3.10
In 0.9395 0.5878 0.1671  2 Se 2.80-2.96, 1 Ga 3.04, 1 In 3.10
In 0.3329 0.7724 0.4208  2 Se 2.80-2.96, 1 Ga 3.04, 1 In 3.10
In 0.0878 0.9208 0.1483  2 Se 2.80-2.96, 1 Ga 3.04, 1 In 3.10
In 0.5878 0.9395 0.6671  2 Se 2.80-2.96, 1 Ga 3.04, 1 In 3.10
In 0.7276 0.5792 0.1671  2 Se 2.80-2.96, 1 Ga 3.04, 1 In 3.10
In 0.7724 0.4395 0.3517  2 Se 2.80-2.96, 1 Ga 3.04, 1 In 3.10
In 0.8329 0.9122 0.0605  2 Se 2.80-2.96, 1 Ga 3.04, 1 In 3.10
In 0.1483 0.7276 0.5605  2 Se 2.80-2.96, 1 Ga 3.04, 1 In 3.10
In 0.3517 0.4122 0.0792  2 Se 2.80-2.96, 1 Ga 3.04, 1 In 3.10
In 0.0792 0.9122 0.3517  2 Se 2.80-2.96, 1 Ga 3.04, 1 In 3.10
In 0.4208 0.1483 0.5878  2 Se 2.80-2.96, 1 Ga 3.04, 1 In 3.10
In 0.0792 0.1671 0.2276  2 Se 2.80-2.96, 1 Ga 3.04, 1 In 3.10
In 0.4395 0.6671 0.0878  2 Se 2.80-2.96, 1 Ga 3.04, 1 In 3.10
In 0.8329 0.9208 0.2724  2 Se 2.80-2.96, 1 Ga 3.04, 1 In 3.10
In 0.1483 0.4208 0.0878  2 Se 2.80-2.96, 1 Ga 3.04, 1 In 3.10
In 0.3517 0.9395 0.7724  2 Se 2.80-2.96, 1 Ga 3.04, 1 In 3.10
In 0.5878 0.6483 0.4208  2 Se 2.80-2.96, 1 Ga 3.04, 1 In 3.10
In 0.9122 0.8329 0.5605  2 Se 2.80-2.96, 1 Ga 3.04, 1 In 3.10
In 0.7724 0.3329 0.9208  2 Se 2.80-2.96, 1 Ga 3.04, 1 In 3.10
In 0.4122 0.3517 0.5792  2 Se 2.80-2.96, 1 Ga 3.04, 1 In 3.10
In 0.0878 0.1671 0.4395  2 Se 2.80-2.96, 1 Ga 3.04, 1 In 3.10
In 0.2276 0.6671 0.0792  2 Se 2.80-2.96, 1 Ga 3.04, 1 In 3.10
In 0.1671 0.0792 0.7276  2 Se 2.80-2.96, 1 Ga 3.04, 1 In 3.10
In 0.6483 0.0605 0.2276  2 Se 2.80-2.96, 1 Ga 3.04, 1 In 3.10
In 0.8517 0.5792 0.9122  2 Se 2.80-2.96, 1 Ga 3.04, 1 In 3.10
In 0.5605 0.3329 0.9122  2 Se 2.80-2.96, 1 Ga 3.04, 1 In 3.10
In 0.5792 0.8517 0.4122  2 Se 2.80-2.96, 1 Ga 3.04, 1 In 3.10
In 0.9208 0.8329 0.7724  2 Se 2.80-2.96, 1 Ga 3.04, 1 In 3.10
In 0.9208 0.0878 0.6483  2 Se 2.80-2.96, 1 Ga 3.04, 1 In 3.10
In 0.8517 0.2724 0.4395  2 Se 2.80-2.96, 1 Ga 3.04, 1 In 3.10
In 0.1671 0.0878 0.9395  2 Se 2.80-2.96, 1 Ga 3.04, 1 In 3.10
In 0.6483 0.5878 0.9208  2 Se 2.80-2.96, 1 Ga 3.04, 1 In 3.10
In 0.4122 0.0605 0.3329  2 Se 2.80-2.96, 1 Ga 3.04, 1 In 3.10
In 0.2724 0.4208 0.8329  2 Se 2.80-2.96, 1 Ga 3.04, 1 In 3.10
In 0.2276 0.5605 0.6483  2 Se 2.80-2.96, 1 Ga 3.04, 1 In 3.10
In 0.9122 0.0792 0.8517  2 Se 2.80-2.96, 1 Ga 3.04, 1 In 3.10
In 0.6671 0.2276 0.5792  2 Se 2.80-2.96, 1 Ga 3.04, 1 In 3.10
In 0.4395 0.7724 0.8517  2 Se 2.80-2.96, 1 Ga 3.04, 1 In 3.10
In 0.0605 0.4122 0.8329  2 Se 2.80-2.96, 1 Ga 3.04, 1 In 3.10
In 0.4208 0.2724 0.3329  2 Se 2.80-2.96, 1 Ga 3.04, 1 In 3.10
In 0.0605 0.6483 0.7276  2 Se 2.80-2.96, 1 Ga 3.04, 1 In 3.10
In 0.6671 0.4395 0.5878  2 Se 2.80-2.96, 1 Ga 3.04, 1 In 3.10
In 0.2724 0.8517 0.9395  2 Se 2.80-2.96, 1 Ga 3.04, 1 In 3.10

***

Entry 11:
The following is a PBE calculation of an optimized crystal structure of InGaSe2, from Alexandria via LeMat-Bulk.

Properties
Energy relative to the elements, uncorrected (meV/atom): -518
DOS(E_F) (states/eV/cell): 1.93

Cell lengths 6.2188, 6.6559, 6.6555 Å; angles 77.39, 62.14, 62.14 degrees
With the nearest neighbours (Å) after each atom.
Sites, in units of the cell vectors:
In 0.6445 0.1768 0.6838  2 In 3.11, 4 Se 3.12-3.13
In 0.1445 0.1768 0.6838  2 In 3.11, 4 Se 3.12-3.13
Ga 0.8960 0.6765 0.1840  4 Se 2.45
Ga 0.3960 0.6766 0.1840  4 Se 2.45
Se 0.9852 0.6767 0.5052  2 Ga 2.45
Se 0.4853 0.9979 0.1840  2 Ga 2.45
Se 0.8066 0.3554 0.1839  2 Ga 2.45
Se 0.3066 0.6766 0.8627  2 Ga 2.45

***

Entry 12:
The following is a PBE calculation of an optimized crystal structure of InGaSe2, from Alexandria via LeMat-Bulk.

Properties
Energy relative to the elements, uncorrected (meV/atom): -349
DOS(E_F) (states/eV/cell): 0.00

Cell lengths 7.2059, 7.2059, 6.9429 Å; angles 58.74, 58.74, 90.00 degrees
With the nearest neighbours (Å) after each atom.
Sites, in units of the cell vectors:
Ga 0.5000 0.5000 0.0000  4 Se 2.99
Ga 0.2500 0.7500 0.5000  4 Se 2.99
Se 0.6638 0.1250 0.2500  2 In 2.64
Se 0.0862 0.6250 0.2500  2 In 2.64
Se 0.3750 0.3362 0.7500  2 In 2.64
Se 0.8750 0.9138 0.7500  2 In 2.64
In 0.0000 0.0000 0.0000  4 Se 2.64
In 0.7500 0.2500 0.5000  4 Se 2.64